Compound: CsZrTa3
Source: Alexandria
Functional: GGA-PBE
Structure: optimized geometry

Properties
The calculated density comes out at 9.1 g cm⁻³. The formation energy from the elements is 2148 meV per atom. The calculation puts the calculated total energy at -6.84 eV per atom.

a b c (Å): 5.1935 5.1935 5.1935
angles (deg): 90.00 90.00 90.00
Space group Pm-3m (No. 221)
Inequivalent atoms, fractional coordinates:
Cs: 0.0000 0.0000 0.0000 [1 per cell]
Zr: 0.5000 0.5000 0.5000 [1 per cell]
Ta: 0.0000 0.5000 0.5000 [3 per cell]

***

Compound: CsZrTa3
Source: Alexandria
Functional: GGA-PBE
Structure: optimized geometry

Properties
The calculated density comes out at 10.1 g cm⁻³. The formation energy from the elements is 2837 meV per atom. The calculation puts the calculated total energy at -6.15 eV per atom.

a b c (Å): 5.0172 5.0172 5.0172
angles (deg): 90.00 90.00 90.00
Space group Pm-3m (No. 221)
Inequivalent atoms, fractional coordinates:
Cs: 0.0000 0.0000 0.0000 [1 per cell]
Zr: 0.5000 0.5000 0.5000 [1 per cell]
Ta: 0.0000 0.0000 0.5000 [3 per cell]

***

Compound: CsZr3Ta
Source: Alexandria
Functional: GGA-PBE
Structure: optimized geometry

Properties
The calculated density comes out at 6.3 g cm⁻³. The formation energy from the elements is 1137 meV per atom. The calculation puts the calculated total energy at -6.53 eV per atom.

a b c (Å): 5.3778 5.3778 5.3778
angles (deg): 90.00 90.00 90.00
Space group Pm-3m (No. 221)
Inequivalent atoms, fractional coordinates:
Cs: 0.0000 0.0000 0.0000 [1 per cell]
Zr: 0.0000 0.5000 0.5000 [3 per cell]
Ta: 0.5000 0.5000 0.5000 [1 per cell]